First-principles (PBE) data for an optimized crystal structure of AcSmEr2, as listed in the Alexandria database.

* excess energy over the best structure of this formula in the dataset: 0.000 eV/atom
* formation energy: 56.8 meV/atom
* space group: No. 123
* mass density: 8.55 g/cm3
* final energy: -4.4315 eV per atom

Cell lengths 5.2285, 5.2285, 5.0565 Å; angles 90.00, 90.00, 90.00 degrees
Atoms (fractional coordinates):
Ac (0.0000, 0.0000, 0.0000)
Sm (0.5000, 0.5000, 0.0000)
Er (0.0000, 0.5000, 0.5000)
Er (0.5000, 0.0000, 0.5000)


First-principles (PBE) data for an optimized crystal structure of Ac3Sm12Er, as listed in the Alexandria database.

* formation energy: 34.2 meV/atom
* space group: No. 123
* mass density: 7.77 g/cm3
* final energy: -4.5607 eV per atom

Cell lengths 5.2140, 5.2140, 20.8393 Å; angles 90.00, 90.00, 90.00 degrees
Atoms (fractional coordinates):
Ac (0.0000, 0.0000, 0.0000)
Ac (0.0000, 0.0000, 0.2530)
Ac (0.0000, 0.0000, 0.7470)
Sm (0.0000, 0.5000, 0.1265)
Sm (0.0000, 0.5000, 0.3807)
Sm (0.0000, 0.5000, 0.6193)
Sm (0.0000, 0.5000, 0.8735)
Sm (0.5000, 0.0000, 0.1265)
Sm (0.5000, 0.0000, 0.3807)
Sm (0.5000, 0.0000, 0.6193)
Sm (0.5000, 0.0000, 0.8735)
Sm (0.5000, 0.5000, 0.0000)
Sm (0.5000, 0.5000, 0.2540)
Sm (0.5000, 0.5000, 0.5000)
Sm (0.5000, 0.5000, 0.7460)
Er (0.0000, 0.0000, 0.5000)


First-principles (PBE) data for an optimized crystal structure of AcSm4Er2, as listed in the Alexandria database.

* excess energy over the best structure of this formula in the dataset: 0.203 eV/atom
* formation energy: 247.0 meV/atom
* space group: No. 12
* mass density: 7.81 g/cm3
* final energy: -4.3402 eV per atom

Cell lengths 6.8844, 6.8844, 6.3510 Å; angles 97.78, 97.78, 56.26 degrees
Atoms (fractional coordinates):
Ac (0.0000, 0.0000, 0.0000)
Sm (0.0000, 0.5000, 0.0000)
Sm (0.1623, 0.1623, 0.5090)
Sm (0.5000, 0.0000, 0.0000)
Sm (0.8377, 0.8377, 0.4910)
Er (0.4584, 0.4584, 0.7346)
Er (0.5416, 0.5416, 0.2654)


First-principles (PBE) data for an optimized crystal structure of Ac3Sm6Er, as listed in the Alexandria database.

* formation energy: 371.0 meV/atom
* space group: No. 146
* mass density: 7.60 g/cm3
* final energy: -4.1493 eV per atom

Cell lengths 7.2599, 7.2599, 7.2599 Å; angles 88.56, 88.56, 88.56 degrees
Atoms (fractional coordinates):
Ac (0.0000, 0.0000, 0.0000)
Ac (0.2575, 0.2575, 0.2575)
Ac (0.5153, 0.5153, 0.5153)
Sm (0.0071, 0.6807, 0.3563)
Sm (0.1597, 0.5091, 0.8354)
Sm (0.3563, 0.0071, 0.6807)
Sm (0.5091, 0.8354, 0.1597)
Sm (0.6807, 0.3563, 0.0071)
Sm (0.8354, 0.1597, 0.5091)
Er (0.7576, 0.7576, 0.7576)


First-principles (PBE) data for an optimized crystal structure of AcSm7Er3, as listed in the Alexandria database.

* formation energy: 208.1 meV/atom
* space group: No. 156
* mass density: 7.54 g/cm3
* final energy: -4.4129 eV per atom

Cell lengths 7.2148, 7.2148, 8.7013 Å; angles 90.00, 90.00, 120.00 degrees
Atoms (fractional coordinates):
Ac (0.0000, 0.0000, 0.0000)
Sm (0.0019, 0.5010, 0.9895)
Sm (0.3334, 0.1667, 0.3361)
Sm (0.3333, 0.6667, 0.3239)
Sm (0.4990, 0.5010, 0.9895)
Sm (0.4990, 0.9981, 0.9895)
Sm (0.8333, 0.1667, 0.3361)
Sm (0.8333, 0.6666, 0.3361)
Er (0.1686, 0.3373, 0.6577)
Er (0.1686, 0.8314, 0.6577)
Er (0.6627, 0.8314, 0.6577)


First-principles (PBE) data for an optimized crystal structure of AcSm2Er4, as listed in the Alexandria database.

* excess energy over the best structure of this formula in the dataset: 0.103 eV/atom
* formation energy: 138.9 meV/atom
* space group: No. 1
* mass density: 8.25 g/cm3
* final energy: -4.4037 eV per atom

Cell lengths 8.2814, 8.3010, 8.7431 Å; angles 63.95, 64.42, 85.87 degrees
Atoms (fractional coordinates):
Ac (0.0000, 0.0000, 0.0000)
Ac (0.1549, 0.1498, 0.3262)
Sm (0.0389, 0.6439, 0.4967)
Sm (0.2866, 0.8674, 0.6655)
Sm (0.5099, 0.1102, 0.8315)
Sm (0.8344, 0.4919, 0.2764)
Er (0.1246, 0.4412, 0.8977)
Er (0.3366, 0.6326, 0.0661)
Er (0.3746, 0.3525, 0.4919)
Er (0.5175, 0.8153, 0.2665)
Er (0.5736, 0.5729, 0.6690)
Er (0.6536, 0.3149, 0.0595)
Er (0.7134, 0.0199, 0.4325)
Er (0.7980, 0.7705, 0.8410)


First-principles (PBE) data for an optimized crystal structure of AcSm5Er, as listed in the Alexandria database.

* formation energy: 94.7 meV/atom
* space group: No. 15
* mass density: 7.69 g/cm3
* final energy: -4.5149 eV per atom

Cell lengths 6.7131, 6.7131, 11.7052 Å; angles 102.56, 102.56, 96.69 degrees
Atoms (fractional coordinates):
Ac (0.0000, 0.5000, 0.0000)
Ac (0.5000, 0.0000, 0.5000)
Sm (0.0652, 0.2752, 0.5340)
Sm (0.0769, 0.9231, 0.2500)
Sm (0.2752, 0.0652, 0.0340)
Sm (0.2985, 0.4468, 0.3303)
Sm (0.4468, 0.2985, 0.8303)
Sm (0.5532, 0.7015, 0.1697)
Sm (0.7015, 0.5532, 0.6697)
Sm (0.7248, 0.9348, 0.9660)
Sm (0.9231, 0.0769, 0.7500)
Sm (0.9348, 0.7248, 0.4660)
Er (0.2622, 0.7378, 0.7500)
Er (0.7378, 0.2622, 0.2500)


First-principles (PBE) data for an optimized crystal structure of Ac8Sm4Er, as listed in the Alexandria database.

* formation energy: 400.6 meV/atom
* space group: No. 166
* mass density: 7.39 g/cm3
* final energy: -3.9307 eV per atom

Cell lengths 8.3429, 8.3429, 8.3429 Å; angles 90.05, 90.05, 90.05 degrees
Atoms (fractional coordinates):
Ac (0.2412, 0.2412, 0.2412)
Ac (0.2412, 0.2412, 0.7582)
Ac (0.2412, 0.7582, 0.2412)
Ac (0.2418, 0.7588, 0.7588)
Ac (0.7582, 0.2412, 0.2412)
Ac (0.7588, 0.2418, 0.7588)
Ac (0.7588, 0.7588, 0.2418)
Ac (0.7588, 0.7588, 0.7588)
Sm (0.0000, 0.0000, 0.0000)
Sm (0.0000, 0.5000, 0.5000)
Sm (0.5000, 0.0000, 0.5000)
Sm (0.5000, 0.5000, 0.0000)
Er (0.5000, 0.5000, 0.5000)